No. 1
Entry from Alexandria via LeMat-Bulk: a geometry-optimized Pr6P3I2 structure (GGA-PBE).

```
Pr6P3I2
1.0
3.6632 -6.3401 0.0000
3.6632 6.3401 0.0000
-2.4643 0.0000 7.4884
Pr P I
6 3 2
direct
0.0977 0.4255 0.7957 Pr
0.2278 0.2278 0.1986 Pr
0.4255 0.0977 0.7957 Pr
0.5745 0.9023 0.2043 Pr
0.7722 0.7722 0.8014 Pr
0.9023 0.5745 0.2043 Pr
0.1711 0.8289 0.0000 P
0.5000 0.5000 0.0000 P
0.8289 0.1711 0.0000 P
0.3352 0.6648 0.5000 I
0.6648 0.3352 0.5000 I
```

Energy relative to the elements, uncorrected = -1.239 eV per atom



No. 2
Entry from Alexandria via LeMat-Bulk: a geometry-optimized Pr8PPt3I3 structure (GGA-PBE).

```
Pr8PPt3I3
1.0
7.4754 -4.3182 0.0000
7.4754 4.3182 0.0000
-4.9878 0.0000 7.8012
Pr P Pt I
8 1 3 3
direct
0.2289 0.7336 0.6961 Pr
0.2296 0.2296 0.6889 Pr
0.2662 0.2662 0.3036 Pr
0.2664 0.7711 0.3039 Pr
0.7336 0.2289 0.6961 Pr
0.7338 0.7338 0.6964 Pr
0.7704 0.7704 0.3111 Pr
0.7711 0.2664 0.3039 Pr
0.5000 0.5000 0.5000 P
0.0000 0.0000 0.5000 Pt
0.0000 0.5000 0.5000 Pt
0.5000 0.0000 0.5000 Pt
0.0000 0.5000 0.0000 I
0.5000 0.0000 0.0000 I
0.5000 0.5000 0.0000 I
```

Energy relative to the elements, uncorrected = -1.010 eV per atom



No. 3
Entry from Alexandria via LeMat-Bulk: a geometry-optimized Pr4PPtI2 structure (GGA-PBE).

```
Pr4PPtI2
1.0
7.6715 0.0000 0.0000
0.0000 4.1969 0.0000
-2.3615 0.0000 7.7996
Pr P Pt I
4 1 1 2
direct
0.2226 0.0000 0.1914 Pr
0.2773 0.5000 0.8037 Pr
0.7227 0.5000 0.1963 Pr
0.7774 0.0000 0.8086 Pr
0.5000 0.0000 0.0000 P
0.0000 0.5000 0.0000 Pt
0.0000 0.0000 0.5000 I
0.5000 0.5000 0.5000 I
```

Energy relative to the elements, uncorrected = -1.189 eV per atom



No. 4
Entry from Alexandria via LeMat-Bulk: a geometry-optimized Pr6PPt2I3 structure (GGA-PBE).

```
Pr6PPt2I3
1.0
3.7666 -6.4971 0.0000
3.7666 6.4971 0.0000
-2.4952 0.0000 7.9031
Pr P Pt I
6 1 2 3
direct
0.0971 0.4366 0.8105 Pr
0.2235 0.2235 0.1898 Pr
0.4366 0.0971 0.8105 Pr
0.5634 0.9029 0.1895 Pr
0.7765 0.7765 0.8102 Pr
0.9029 0.5634 0.1895 Pr
0.5000 0.5000 0.0000 P
0.1668 0.8332 0.0000 Pt
0.8332 0.1668 0.0000 Pt
0.0000 0.0000 0.5000 I
0.3368 0.6632 0.5000 I
0.6632 0.3368 0.5000 I
```

Energy relative to the elements, uncorrected = -1.146 eV per atom



No. 5
Entry from Alexandria via LeMat-Bulk: a geometry-optimized Pr8PPt3I4 structure (GGA-PBE).

```
Pr8PPt3I4
1.0
4.3238 2.4964 7.9839
-4.3238 2.4964 7.9839
0.0000 -4.9927 7.9839
Pr P Pt I
8 1 3 4
direct
0.2280 0.7314 0.7314 Pr
0.2285 0.2285 0.2285 Pr
0.2686 0.2686 0.7720 Pr
0.2686 0.7720 0.2686 Pr
0.7314 0.2280 0.7314 Pr
0.7314 0.7314 0.2280 Pr
0.7715 0.7715 0.7715 Pr
0.7720 0.2686 0.2686 Pr
0.5000 0.5000 0.5000 P
0.0000 0.0000 0.5000 Pt
0.0000 0.5000 0.0000 Pt
0.5000 0.0000 0.0000 Pt
0.0000 0.0000 0.0000 I
0.0000 0.5000 0.5000 I
0.5000 0.0000 0.5000 I
0.5000 0.5000 0.0000 I
```

Energy relative to the elements, uncorrected = -1.129 eV per atom



No. 6
Entry from Alexandria via LeMat-Bulk: a geometry-optimized Pr8PRh3I4 structure (GGA-PBE).

```
Pr8PRh3I4
1.0
4.2593 2.4591 8.0879
-4.2593 2.4591 8.0879
0.0000 -4.9182 8.0879
Pr P Rh I
8 1 3 4
direct
0.2209 0.7324 0.7324 Pr
0.2294 0.2294 0.2294 Pr
0.2676 0.2676 0.7791 Pr
0.2676 0.7791 0.2676 Pr
0.7324 0.2209 0.7324 Pr
0.7324 0.7324 0.2209 Pr
0.7706 0.7706 0.7706 Pr
0.7791 0.2676 0.2676 Pr
0.5000 0.5000 0.5000 P
0.0000 0.0000 0.5000 Rh
0.0000 0.5000 0.0000 Rh
0.5000 0.0000 0.0000 Rh
0.0000 0.0000 0.0000 I
0.0000 0.5000 0.5000 I
0.5000 0.0000 0.5000 I
0.5000 0.5000 0.0000 I
```

Energy relative to the elements, uncorrected = -0.985 eV per atom



No. 7
Entry from Alexandria via LeMat-Bulk: a geometry-optimized Pr6PRh2I3 structure (GGA-PBE).

```
Pr6PRh2I3
1.0
3.6910 -6.3874 0.0000
3.6910 6.3874 0.0000
-2.4398 0.0000 8.0667
Pr P Rh I
6 1 2 3
direct
0.0963 0.4375 0.8123 Pr
0.2209 0.2209 0.1876 Pr
0.4375 0.0963 0.8123 Pr
0.5625 0.9037 0.1877 Pr
0.7791 0.7791 0.8124 Pr
0.9037 0.5625 0.1877 Pr
0.5000 0.5000 0.0000 P
0.1669 0.8331 0.0000 Rh
0.8331 0.1669 0.0000 Rh
0.0000 0.0000 0.5000 I
0.3358 0.6642 0.5000 I
0.6642 0.3358 0.5000 I
```

Energy relative to the elements, uncorrected = -1.025 eV per atom



No. 8
Entry from Alexandria via LeMat-Bulk: a geometry-optimized Pr8PRh3I3 structure (GGA-PBE).

```
Pr8PRh3I3
1.0
4.2484 2.4528 7.9003
-4.2484 2.4528 7.9003
0.0000 -4.9056 7.9003
Pr P Rh I
8 1 3 3
direct
0.2233 0.7338 0.7338 Pr
0.2305 0.2305 0.2305 Pr
0.2662 0.2662 0.7767 Pr
0.2662 0.7767 0.2662 Pr
0.7338 0.2233 0.7338 Pr
0.7338 0.7338 0.2233 Pr
0.7695 0.7695 0.7695 Pr
0.7767 0.2662 0.2662 Pr
0.5000 0.5000 0.5000 P
0.0000 0.0000 0.5000 Rh
0.0000 0.5000 0.0000 Rh
0.5000 0.0000 0.0000 Rh
0.0000 0.5000 0.5000 I
0.5000 0.0000 0.5000 I
0.5000 0.5000 0.0000 I
```

Energy relative to the elements, uncorrected = -0.860 eV per atom